CdOsPb2: optimized geometry, GGA-PBE.

a = 4.422 Å, b = 4.422 Å, c = 9.211 Å
α = 90.00°, β = 90.00°, γ = 90.00°
Atoms (fractional coordinates):
Cd1 0.000 0.000 0.000
Cd2 0.500 0.500 0.500
Os1 0.000 0.500 0.750
Os2 0.500 0.000 0.250
Pb1 0.000 0.000 0.500
Pb2 0.000 0.500 0.250
Pb3 0.500 0.000 0.750
Pb4 0.500 0.500 0.000

Computed properties:
V: 180 Å³ per cell
ΔE_f: 0.8217 eV/atom
Total magnetization: 0.00 μB/cell
Fermi-level density of states: 2.92 states/eV/f.u.
Calculated total energy: -4.0687 eV per atom